No. 1
First-principles (GGA-PBE) data for crystalline Sr2Ge2Bi at its relaxed geometry, as listed in the Alexandria database.

For the volume, the calculation gives 29.38 A^3/atom. Its density of states at the Fermi level is 2.553 states/eV/cell. The value obtained for the energy relative to the elements is -0.60 eV/atom. The value obtained for the theoretical density is 5.98 g/cm³. As for the energy: -3.895 eV/atom. The relative energy among the computed polymorphs is 0.012 eV per atom.

The space group is P4/mbm (No. 127) and the conventional cell measures 7.945, 7.945 and 4.655 Å, with angles of 90.00, 90.00 and 90.00 degrees. The distinct sites, in fractional coordinates, are Sr at (0.179, 0.321, 0.000), Ge at (0.113, 0.613, 0.500) and Bi at (0.000, 0.000, 0.500).

***

No. 2
First-principles (GGA-PBE) data for crystalline Sr5Ge2Bi at its relaxed geometry, as listed in the Alexandria database.

For the volume, the calculation gives 34.92 A^3/atom. Its density of states at the Fermi level is 7.042 states/eV/cell. The value obtained for the energy relative to the elements is -0.69 eV/atom. The value obtained for the theoretical density is 4.71 g/cm³. As for the energy: -3.379 eV/atom.

The space group is I4/mcm (No. 140) and the conventional cell measures 8.407, 8.407 and 15.811 Å, with angles of 90.00, 90.00 and 90.00 degrees. The distinct sites, in fractional coordinates, are Sr at (0.000, 0.000, 0.000), Sr at (0.169, 0.331, 0.139), Ge at (0.117, 0.383, 0.500) and Bi at (0.000, 0.000, 0.250).

***

No. 3
First-principles (GGA-PBE) data for crystalline Sr2GeBi at its relaxed geometry, as listed in the Alexandria database.

For the volume, the calculation gives 34.61 A^3/atom. Its density of states at the Fermi level is 16.436 states/eV/cell. The value obtained for the energy relative to the elements is -0.32 eV/atom. The value obtained for the theoretical density is 5.48 g/cm³. As for the energy: -3.285 eV/atom. The relative energy among the computed polymorphs is 0.271 eV per atom.

The space group is I-42d (No. 122) and the conventional cell measures 8.832, 8.832 and 7.099 Å, with angles of 90.00, 90.00 and 90.00 degrees. The distinct sites, in fractional coordinates, are Sr at (0.231, 0.250, 0.125), Ge at (0.000, 0.000, 0.000) and Bi at (0.000, 0.000, 0.500).

***

No. 4
First-principles (GGA-PBE) data for crystalline Sr2GeBi4 at its relaxed geometry, as listed in the Alexandria database.

For the volume, the calculation gives 38.03 A^3/atom. Its density of states at the Fermi level is 14.637 states/eV/cell. The value obtained for the energy relative to the elements is -0.07 eV/atom. The value obtained for the theoretical density is 6.76 g/cm³. As for the energy: -3.430 eV/atom.

The space group is I4/mmm (No. 139) and the conventional cell measures 5.563, 5.563 and 17.202 Å, with angles of 90.00, 90.00 and 90.00 degrees. The distinct sites, in fractional coordinates, are Sr at (0.000, 0.000, 0.135), Ge at (0.000, 0.000, 0.500), Bi at (0.000, 0.000, 0.331) and Bi at (0.000, 0.500, 0.000).

***

No. 5
First-principles (GGA-PBE) data for crystalline SrGeBi3 at its relaxed geometry, as listed in the Alexandria database.

For the volume, the calculation gives 44.11 A^3/atom. Its density of states at the Fermi level is 4.700 states/eV/cell. The value obtained for the energy relative to the elements is 0.95 eV/atom. The value obtained for the theoretical density is 5.93 g/cm³. As for the energy: -2.638 eV/atom. The relative energy among the computed polymorphs is 0.884 eV per atom.

The space group is Pm-3m (No. 221) and the conventional cell measures 6.042, 6.042 and 6.042 Å, with angles of 90.00, 90.00 and 90.00 degrees. The distinct sites, in fractional coordinates, are Sr at (0.000, 0.000, 0.000), Ge at (0.500, 0.500, 0.500) and Bi at (0.000, 0.000, 0.500).

***

No. 6
First-principles (GGA-PBE) data for crystalline Sr5Ge2Bi2 at its relaxed geometry, as listed in the Alexandria database.

For the volume, the calculation gives 35.52 A^3/atom. Its density of states at the Fermi level is 28.099 states/eV/cell. The value obtained for the energy relative to the elements is -0.70 eV/atom. The value obtained for the theoretical density is 5.20 g/cm³. As for the energy: -3.524 eV/atom.

The space group is Cmce (No. 64) and the conventional cell measures 17.057, 8.698 and 8.619 Å, with angles of 90.00, 90.00 and 90.00 degrees. The distinct sites, in fractional coordinates, are Sr at (0.000, 0.000, 0.000), Sr at (0.137, 0.174, 0.329), Ge at (0.000, 0.103, 0.604) and Bi at (0.202, 0.000, 0.000).

***

No. 7
First-principles (GGA-PBE) data for crystalline SrGeBi3 at its relaxed geometry, as listed in the Alexandria database.

For the volume, the calculation gives 35.74 A^3/atom. Its density of states at the Fermi level is 5.477 states/eV/cell. The value obtained for the energy relative to the elements is 0.07 eV/atom. The value obtained for the theoretical density is 7.31 g/cm³. As for the energy: -3.522 eV/atom. The relative energy among the computed polymorphs is 0.000 eV per atom.

The space group is Pm-3m (No. 221) and the conventional cell measures 5.633, 5.633 and 5.633 Å, with angles of 90.00, 90.00 and 90.00 degrees. The distinct sites, in fractional coordinates, are Sr at (0.000, 0.000, 0.000), Ge at (0.500, 0.500, 0.500) and Bi at (0.000, 0.500, 0.500).

***

No. 8
First-principles (GGA-PBE) data for crystalline Sr3GeBi2 at its relaxed geometry, as listed in the Alexandria database.

For the volume, the calculation gives 35.94 A^3/atom. Its density of states at the Fermi level is 4.019 states/eV/cell. The value obtained for the energy relative to the elements is -0.69 eV/atom. The value obtained for the theoretical density is 5.80 g/cm³. As for the energy: -3.590 eV/atom.

The space group is Pnma (No. 62) and the conventional cell measures 13.417, 4.850 and 13.255 Å, with angles of 90.00, 90.00 and 90.00 degrees. The distinct sites, in fractional coordinates, are Sr at (0.055, 0.250, 0.120), Sr at (0.114, 0.750, 0.544), Sr at (0.234, 0.250, 0.788), Ge at (0.120, 0.250, 0.365), Bi at (0.001, 0.250, 0.700) and Bi at (0.191, 0.750, 0.997).